Entry 1:
# AcBRh2 PBE-GGA relaxed
# ΔH_f (0 K): -0.3258 eV/atom
# E above lowest polymorph: 1.05 eV/f.u.
# DOS at the Fermi energy: 6.0 states/eV/cell
data_AcBRh2
_chemical_formula_sum 'Ac3 B3 Rh6'
_symmetry_space_group_name_H-M 'R -3 m'
_symmetry_Int_Tables_number 166
_symmetry_space_group_name_Hall '-R 3 2"'
_cell_length_a 3.8796
_cell_length_b 3.8796
_cell_length_c 16.5930
_cell_angle_alpha 90.00
_cell_angle_beta 90.00
_cell_angle_gamma 120.00
loop_
_atom_site_label
_atom_site_type_symbol
_atom_site_fract_x
_atom_site_fract_y
_atom_site_fract_z
Ac1 Ac 0.0000 0.0000 0.0000
B1 B 0.0000 0.0000 0.5000
Rh1 Rh 0.0000 0.0000 0.2081

Entry 2:
# Mn2V7Os3 PBE-GGA relaxed
# ΔH_f (0 K): 0.1136 eV/atom
# DOS at the Fermi energy: 20.6 states/eV/cell
data_Mn2V7Os3
_chemical_formula_sum 'Mn4 V14 Os6'
_symmetry_space_group_name_H-M 'C m m m'
_symmetry_Int_Tables_number 65
_symmetry_space_group_name_Hall '-C 2 2'
_cell_length_a 4.132
_cell_length_b 20.132
_cell_length_c 4.179
_cell_angle_alpha 90.00
_cell_angle_beta 90.00
_cell_angle_gamma 90.00
loop_
_atom_site_label
_atom_site_type_symbol
_atom_site_fract_x
_atom_site_fract_y
_atom_site_fract_z
Mn1 Mn 0.000 0.149 0.000
V1 V 0.000 0.000 0.000
V2 V 0.000 0.079 0.500
V3 V 0.000 0.286 0.000
V4 V 0.000 0.426 0.000
Os1 Os 0.000 0.350 0.500
Os2 Os 0.000 0.500 0.500

Entry 3:
# ThCd2In PBE-GGA relaxed
# ΔH_f (0 K): -0.0612 eV/atom
# E above lowest polymorph: 0.55 eV/f.u.
# DOS at the Fermi energy: 7.3 states/eV/cell
data_ThCd2In
_chemical_formula_sum 'Th3 Cd6 In3'
_symmetry_space_group_name_H-M 'R -3 m'
_symmetry_Int_Tables_number 166
_symmetry_space_group_name_Hall '-R 3 2"'
_cell_length_a 4.8405
_cell_length_b 4.8405
_cell_length_c 15.4462
_cell_angle_alpha 90.00
_cell_angle_beta 90.00
_cell_angle_gamma 120.00
loop_
_atom_site_label
_atom_site_type_symbol
_atom_site_fract_x
_atom_site_fract_y
_atom_site_fract_z
Th1 Th 0.0000 0.0000 0.0000
Cd1 Cd 0.0000 0.0000 0.2298
In1 In 0.0000 0.0000 0.5000

Entry 4:
# Dy2BeGa PBE-GGA relaxed
# ΔH_f (0 K): -0.2510 eV/atom
# E above lowest polymorph: 0.00 eV/f.u.
# DOS at the Fermi energy: 2.5 states/eV/cell
data_Dy2BeGa
_chemical_formula_sum 'Dy2 Be1 Ga1'
_symmetry_space_group_name_H-M 'P 4/m m m'
_symmetry_Int_Tables_number 123
_symmetry_space_group_name_Hall '-P 4 2'
_cell_length_a 3.476
_cell_length_b 3.476
_cell_length_c 7.026
_cell_angle_alpha 90.00
_cell_angle_beta 90.00
_cell_angle_gamma 90.00
loop_
_atom_site_label
_atom_site_type_symbol
_atom_site_fract_x
_atom_site_fract_y
_atom_site_fract_z
Dy1 Dy 0.000 0.000 0.234
Be1 Be 0.500 0.500 0.000
Ga1 Ga 0.500 0.500 0.500

Entry 5:
# SrEu2Y PBE-GGA relaxed
# ΔH_f (0 K): 0.0888 eV/atom
# E above lowest polymorph: 0.00 eV/f.u.
# DOS at the Fermi energy: 4.0 states/eV/cell
data_SrEu2Y
_chemical_formula_sum 'Sr1 Eu2 Y1'
_symmetry_space_group_name_H-M 'P 4/m m m'
_symmetry_Int_Tables_number 123
_symmetry_space_group_name_Hall '-P 4 2'
_cell_length_a 3.900
_cell_length_b 3.900
_cell_length_c 11.046
_cell_angle_alpha 90.00
_cell_angle_beta 90.00
_cell_angle_gamma 90.00
loop_
_atom_site_label
_atom_site_type_symbol
_atom_site_fract_x
_atom_site_fract_y
_atom_site_fract_z
Sr1 Sr 0.000 0.000 0.000
Eu1 Eu 0.500 0.500 0.276
Y1 Y 0.000 0.000 0.500

Entry 6:
# KTlCd2In4 PBE-GGA relaxed
# ΔH_f (0 K): 0.0346 eV/atom
# DOS at the Fermi energy: 13.9 states/eV/cell
data_KTlCd2In4
_chemical_formula_sum 'K3 Tl3 Cd6 In12'
_symmetry_space_group_name_H-M 'R -3 m'
_symmetry_Int_Tables_number 166
_symmetry_space_group_name_Hall '-R 3 2"'
_cell_length_a 5.5083
_cell_length_b 5.5083
_cell_length_c 26.0733
_cell_angle_alpha 90.00
_cell_angle_beta 90.00
_cell_angle_gamma 120.00
loop_
_atom_site_label
_atom_site_type_symbol
_atom_site_fract_x
_atom_site_fract_y
_atom_site_fract_z
K1 K 0.0000 0.0000 0.0000
Tl1 Tl 0.0000 0.0000 0.5000
Cd1 Cd 0.0000 0.0000 0.2559
In1 In 0.0000 0.0000 0.1328
In2 In 0.0000 0.0000 0.3833

Entry 7:
# FeTc3Ir PBE-GGA relaxed
# ΔH_f (0 K): 1.3032 eV/atom
# E above lowest polymorph: 0.00 eV/f.u.
# DOS at the Fermi energy: 8.5 states/eV/cell
data_FeTc3Ir
_chemical_formula_sum 'Fe1 Tc3 Ir1'
_symmetry_space_group_name_H-M 'P m -3 m'
_symmetry_Int_Tables_number 221
_symmetry_space_group_name_Hall '-P 4 2 3'
_cell_length_a 4.327
_cell_length_b 4.327
_cell_length_c 4.327
_cell_angle_alpha 90.00
_cell_angle_beta 90.00
_cell_angle_gamma 90.00
loop_
_atom_site_label
_atom_site_type_symbol
_atom_site_fract_x
_atom_site_fract_y
_atom_site_fract_z
Fe1 Fe 0.000 0.000 0.000
Tc1 Tc 0.000 0.000 0.500
Ir1 Ir 0.500 0.500 0.500

Entry 8:
# TeWCl2 PBE-GGA relaxed
# formation energy (no corrections): 1.33 eV per formula unit
# E above lowest polymorph: 2.46 eV/f.u.
# DOS at the Fermi energy: 6.8 states/eV/cell
data_TeWCl2
_chemical_formula_sum 'Te2 W2 Cl4'
_symmetry_space_group_name_H-M 'C m m 2'
_symmetry_Int_Tables_number 35
_cell_length_a 3.156
_cell_length_b 5.716
_cell_length_c 9.688
_cell_angle_alpha 90.00
_cell_angle_beta 90.00
_cell_angle_gamma 90.00
loop_
_symmetry_equiv_pos_as_xyz
'x,y,z'
'-x,-y,z'
'-x,y,z'
'x,-y,z'
'x+1/2,y+1/2,z'
'-x+1/2,-y+1/2,z'
'-x+1/2,y+1/2,z'
'x+1/2,-y+1/2,z'
loop_
_atom_site_label
_atom_site_type_symbol
_atom_site_fract_x
_atom_site_fract_y
_atom_site_fract_z
Te1 Te 0.000 0.000 0.000
W1 W 0.000 0.500 0.247
Cl1 Cl 0.000 0.000 0.436
Cl2 Cl 0.000 0.500 0.758

Entry 9:
# TlIr2Au PBE-GGA relaxed
# ΔH_f (0 K): 0.5637 eV/atom
# E above lowest polymorph: 0.71 eV/f.u.
# DOS at the Fermi energy: 12.1 states/eV/cell
data_TlIr2Au
_chemical_formula_sum 'Tl2 Ir4 Au2'
_symmetry_space_group_name_H-M 'I 4/m m m'
_symmetry_Int_Tables_number 139
_symmetry_space_group_name_Hall '-I 4 2'
_cell_length_a 4.215
_cell_length_b 4.215
_cell_length_c 7.748
_cell_angle_alpha 90.00
_cell_angle_beta 90.00
_cell_angle_gamma 90.00
loop_
_atom_site_label
_atom_site_type_symbol
_atom_site_fract_x
_atom_site_fract_y
_atom_site_fract_z
Tl1 Tl 0.000 0.000 0.000
Ir1 Ir 0.000 0.500 0.250
Au1 Au 0.000 0.000 0.500

Entry 10:
# Ca5SnHg2 PBE-GGA relaxed
# ΔH_f (0 K): -0.5022 eV/atom
# DOS at the Fermi energy: 27.9 states/eV/cell
data_Ca5SnHg2
_chemical_formula_sum 'Ca20 Sn4 Hg8'
_symmetry_space_group_name_H-M 'I 4/m c m'
_symmetry_Int_Tables_number 140
_symmetry_space_group_name_Hall '-I 4 2c'
_cell_length_a 8.196
_cell_length_b 8.196
_cell_length_c 14.919
_cell_angle_alpha 90.00
_cell_angle_beta 90.00
_cell_angle_gamma 90.00
loop_
_atom_site_label
_atom_site_type_symbol
_atom_site_fract_x
_atom_site_fract_y
_atom_site_fract_z
Ca1 Ca 0.000 0.000 0.000
Ca2 Ca 0.169 0.331 0.147
Sn1 Sn 0.000 0.000 0.250
Hg1 Hg 0.129 0.371 0.500

Entry 11:
# TbGdZnIr PBE-GGA relaxed
# ΔH_f (0 K): -0.5984 eV/atom
# DOS at the Fermi energy: 10.6 states/eV/cell
data_TbGdZnIr
_chemical_formula_sum 'Tb4 Gd4 Zn4 Ir4'
_symmetry_space_group_name_H-M 'F -4 3 m'
_symmetry_Int_Tables_number 216
_symmetry_space_group_name_Hall 'F -4 2 3'
_cell_length_a 7.019
_cell_length_b 7.019
_cell_length_c 7.019
_cell_angle_alpha 90.00
_cell_angle_beta 90.00
_cell_angle_gamma 90.00
loop_
_atom_site_label
_atom_site_type_symbol
_atom_site_fract_x
_atom_site_fract_y
_atom_site_fract_z
Tb1 Tb 0.000 0.000 0.000
Gd1 Gd 0.000 0.000 0.500
Zn1 Zn 0.250 0.250 0.250
Ir1 Ir 0.250 0.250 0.750

Entry 12:
# CeErSb PBE-GGA relaxed
# formation energy (no corrections): -1.40 eV per formula unit
# DOS at the Fermi energy: 36.5 states/eV/cell
data_CeErSb
_chemical_formula_sum 'Ce6 Er6 Sb6'
_symmetry_space_group_name_H-M 'R -3 m'
_symmetry_Int_Tables_number 166
_symmetry_space_group_name_Hall '-R 3 2"'
_cell_length_a 4.9226
_cell_length_b 4.9226
_cell_length_c 25.2870
_cell_angle_alpha 90.00
_cell_angle_beta 90.00
_cell_angle_gamma 120.00
loop_
_atom_site_label
_atom_site_type_symbol
_atom_site_fract_x
_atom_site_fract_y
_atom_site_fract_z
Ce1 Ce 0.0000 0.0000 0.1427
Er1 Er 0.0000 0.0000 0.2889
Sb1 Sb 0.0000 0.0000 0.4137

Entry 13:
# La5Nd4Tm2 PBE-GGA relaxed
# ΔH_f (0 K): 0.2077 eV/atom
# E above lowest polymorph: 1.52 eV/f.u.
# DOS at the Fermi energy: 33.1 states/eV/cell
data_La5Nd4Tm2
_chemical_formula_sum 'La10 Nd8 Tm4'
_symmetry_space_group_name_H-M 'I m m m'
_symmetry_Int_Tables_number 71
_symmetry_space_group_name_Hall '-I 2 2'
_cell_length_a 3.556
_cell_length_b 9.650
_cell_length_c 23.430
_cell_angle_alpha 90.00
_cell_angle_beta 90.00
_cell_angle_gamma 90.00
loop_
_atom_site_label
_atom_site_type_symbol
_atom_site_fract_x
_atom_site_fract_y
_atom_site_fract_z
La1 La 0.000 0.000 0.000
La2 La 0.000 0.290 0.347
Nd1 Nd 0.000 0.202 0.500
Nd2 Nd 0.000 0.500 0.096
Tm1 Tm 0.000 0.500 0.230

Entry 14:
# Pm4NpBi5 PBE-GGA relaxed
# ΔH_f (0 K): -0.7262 eV/atom
# DOS at the Fermi energy: 23.6 states/eV/cell
data_Pm4NpBi5
_chemical_formula_sum 'Pm8 Np2 Bi10'
_symmetry_space_group_name_H-M 'I m m m'
_symmetry_Int_Tables_number 71
_symmetry_space_group_name_Hall '-I 2 2'
_cell_length_a 4.568
_cell_length_b 6.454
_cell_length_c 22.854
_cell_angle_alpha 90.00
_cell_angle_beta 90.00
_cell_angle_gamma 90.00
loop_
_atom_site_label
_atom_site_type_symbol
_atom_site_fract_x
_atom_site_fract_y
_atom_site_fract_z
Pm1 Pm 0.000 0.000 0.101
Pm2 Pm 0.000 0.000 0.300
Np1 Np 0.000 0.000 0.500
Bi1 Bi 0.000 0.500 0.098
Bi2 Bi 0.000 0.500 0.300
Bi3 Bi 0.000 0.500 0.500

Entry 15:
# Sc2Mn2Ir PBE-GGA relaxed
# ΔH_f (0 K): 0.1932 eV/atom
# E above lowest polymorph: 1.81 eV/f.u.
# DOS at the Fermi energy: 7.3 states/eV/cell
data_Sc2Mn2Ir
_chemical_formula_sum 'Sc4 Mn4 Ir2'
_symmetry_space_group_name_H-M 'P 4/m b m'
_symmetry_Int_Tables_number 127
_symmetry_space_group_name_Hall '-P 4 2ab'
_cell_length_a 7.211
_cell_length_b 7.211
_cell_length_c 3.337
_cell_angle_alpha 90.00
_cell_angle_beta 90.00
_cell_angle_gamma 90.00
loop_
_atom_site_label
_atom_site_type_symbol
_atom_site_fract_x
_atom_site_fract_y
_atom_site_fract_z
Sc1 Sc 0.166 0.334 0.000
Mn1 Mn 0.131 0.631 0.500
Ir1 Ir 0.000 0.000 0.000

Entry 16:
# TaGa PBE-GGA relaxed
# ΔH_f (0 K): -0.1293 eV/atom
# DOS at the Fermi energy: 2.9 states/eV/cell
data_TaGa
_chemical_formula_sum 'Ta4 Ga4'
_symmetry_space_group_name_H-M 'C m m m'
_symmetry_Int_Tables_number 65
_symmetry_space_group_name_Hall '-C 2 2'
_cell_length_a 6.207
_cell_length_b 7.479
_cell_length_c 2.855
_cell_angle_alpha 90.00
_cell_angle_beta 90.00
_cell_angle_gamma 90.00
loop_
_atom_site_label
_atom_site_type_symbol
_atom_site_fract_x
_atom_site_fract_y
_atom_site_fract_z
Ta1 Ta 0.000 0.204 0.000
Ga1 Ga 0.204 0.500 0.500

Entry 17:
# LaAgIr2 PBE-GGA relaxed
# ΔH_f (0 K): 0.0740 eV/atom
# E above lowest polymorph: 0.64 eV/f.u.
# DOS at the Fermi energy: 10.0 states/eV/cell
data_LaAgIr2
_chemical_formula_sum 'La2 Ag2 Ir4'
_symmetry_space_group_name_H-M 'C m m m'
_symmetry_Int_Tables_number 65
_symmetry_space_group_name_Hall '-C 2 2'
_cell_length_a 6.068
_cell_length_b 7.670
_cell_length_c 3.300
_cell_angle_alpha 90.00
_cell_angle_beta 90.00
_cell_angle_gamma 90.00
loop_
_atom_site_label
_atom_site_type_symbol
_atom_site_fract_x
_atom_site_fract_y
_atom_site_fract_z
La1 La 0.000 0.000 0.000
Ag1 Ag 0.000 0.500 0.000
Ir1 Ir 0.250 0.250 0.500

Entry 18:
# V2TcTeN PBE-GGA relaxed
# formation energy (no corrections): 3.75 eV per formula unit
# DOS at the Fermi energy: 7.1 states/eV/cell
data_V2TcTeN
_chemical_formula_sum 'V2 Tc1 Te1 N1'
_symmetry_space_group_name_H-M 'P 4/m m m'
_symmetry_Int_Tables_number 123
_symmetry_space_group_name_Hall '-P 4 2'
_cell_length_a 4.807
_cell_length_b 4.807
_cell_length_c 3.763
_cell_angle_alpha 90.00
_cell_angle_beta 90.00
_cell_angle_gamma 90.00
loop_
_atom_site_label
_atom_site_type_symbol
_atom_site_fract_x
_atom_site_fract_y
_atom_site_fract_z
V1 V 0.000 0.500 0.000
Tc1 Tc 0.000 0.000 0.000
Te1 Te 0.500 0.500 0.500
N1 N 0.000 0.000 0.500

Entry 19:
# Ba4Ca3 PBE-GGA relaxed
# ΔH_f (0 K): 0.0314 eV/atom
# DOS at the Fermi energy: 24.5 states/eV/cell
data_Ba4Ca3
_chemical_formula_sum 'Ba8 Ca6'
_symmetry_space_group_name_H-M 'I m m m'
_symmetry_Int_Tables_number 71
_symmetry_space_group_name_Hall '-I 2 2'
_cell_length_a 4.726
_cell_length_b 4.738
_cell_length_c 33.750
_cell_angle_alpha 90.00
_cell_angle_beta 90.00
_cell_angle_gamma 90.00
loop_
_atom_site_label
_atom_site_type_symbol
_atom_site_fract_x
_atom_site_fract_y
_atom_site_fract_z
Ba1 Ba 0.000 0.000 0.070
Ba2 Ba 0.000 0.000 0.208
Ca1 Ca 0.000 0.000 0.361
Ca2 Ca 0.000 0.000 0.500

Entry 20:
# DyCuH PBE-GGA relaxed
# E above lowest polymorph: 0.00 eV/f.u.
# DOS at the Fermi energy: 3.4 states/eV/cell
data_DyCuH
_chemical_formula_sum 'Dy4 Cu4 H4'
_symmetry_space_group_name_H-M 'A e m 2'
_symmetry_Int_Tables_number 39
_cell_length_a 5.957
_cell_length_b 5.494
_cell_length_c 5.973
_cell_angle_alpha 90.00
_cell_angle_beta 90.00
_cell_angle_gamma 90.00
loop_
_symmetry_equiv_pos_as_xyz
'x,y,z'
'-x,-y,z'
'-x,y+1/2,z'
'x,-y+1/2,z'
'x,y+1/2,z+1/2'
'-x,-y+1/2,z+1/2'
'-x,y,z+1/2'
'x,-y,z+1/2'
loop_
_atom_site_label
_atom_site_type_symbol
_atom_site_fract_x
_atom_site_fract_y
_atom_site_fract_z
Dy1 Dy 0.202 0.250 0.000
Cu1 Cu 0.300 0.250 0.501
H1 H 0.500 0.000 0.008